(1)
Material: Tb2Te5Pd4
Method: DFT, GGA-PBE
State: relaxed

Lattice parameters (Å, degrees): 4.4094 4.4094 17.6003 82.80 82.80 60.00
Positions (direct):
Pd  0.4215  0.4215  0.7354
Pd  0.5785  0.5785  0.2646
Pd  0.6828  0.6828  0.9515
Pd  0.3172  0.3172  0.0485
Te  0.2361  0.2361  0.2916
Te  0.3681  0.3681  0.8956
Te  0.6319  0.6319  0.1044
Te  0.7639  0.7639  0.7084
Te  0.5000  0.5000  0.5000
Tb  0.8710  0.8710  0.3870
Tb  0.1290  0.1290  0.6130

## Properties
The value obtained for the uncorrected formation energy is -0.748 eV per atom. Its calculated density is 7.82 Mg/m³.

(2)
Material: ZnCu6Pt4
Method: DFT, GGA-PBE
State: relaxed

Lattice parameters (Å, degrees): 7.2565 7.2565 7.2565 58.04 139.88 139.88
Positions (direct):
Cu  0.5000  0.0000  0.5000
Cu  0.5000  0.5000  0.0000
Cu  0.6237  0.1842  0.1842
Cu  0.3763  0.5605  0.5605
Cu  0.0000  0.8158  0.4395
Cu  0.0000  0.4395  0.8158
Zn  0.0000  0.0000  0.0000
Pt  0.0000  0.0282  0.6278
Pt  0.5996  0.9718  0.9718
Pt  0.0000  0.6278  0.0282
Pt  0.4004  0.3722  0.3722

## Properties
The value obtained for the formation energy is 0.330 eV/f.u. Its calculated density is 12.96 Mg/m³.

(3)
Material: TmHS
Method: DFT, GGA-PBE
State: relaxed

Lattice parameters (Å, degrees): 4.7983 4.7974 5.3113 90.00 90.00 95.76
Positions (direct):
S  0.2535  0.2535  0.5001
S  0.7535  0.7535  0.4999
Tm  0.7534  0.2534  0.7239
Tm  0.2534  0.7534  0.2761
H  0.0025  0.5025  0.0009
H  0.5025  0.0025  0.9991

## Properties
The energy is -5.1545 eV/atom. Its calculated density is 5.52 Mg/m³.

What is the formula in the third record? TmHS

What is the calculated density in the third record? 5.52 Mg/m³